Li3AlF, relaxed, DFT PBEsol; formation energy (no corrections) = -1.049 eV per atom; uncorrected energy = -17.2 eV/cell; crystal system = cubic
1.0
4.070 0.000 0.000
0.000 4.070 0.000
0.000 0.000 4.070
Li Al F
3 1 1
Direct
0.000 0.000 0.500
0.000 0.500 0.000
0.500 0.000 0.000
0.500 0.500 0.500
0.000 0.000 0.000